Here is SnWIO2 after structural relaxation from Alexandria via LeMat-Bulk. Energies are from PBE with a Hubbard U.

Lattice parameters (Å, degrees): 4.2202 4.2202 5.8245 90.00 90.00 90.00
Site moments in Bohr magnetons follow the coordinates.
Atoms (fractional coordinates):
O 0.5000 0.0000 0.0000  0.04
O 0.0000 0.5000 0.0000  0.04
W 0.0000 0.0000 0.0000  2.16
I 0.0000 0.0000 0.5000  0.01
Sn 0.5000 0.5000 0.5000  0.10

Properties
The calculation puts the electronic total energy at -25.0 eV for the cell shown. Its crystal system is tetragonal. As for the space group: P4/mmm, No. 123.